--- A ---
A relaxed structure of VBrF3, computed with GGA+U.

The space group is Pm-3m (No. 221) and the conventional cell measures 4.574, 4.574 and 4.574 Å, with angles of 90.00, 90.00 and 90.00 degrees. The asymmetric unit holds V at (0.000, 0.000, 0.000), Br at (0.500, 0.500, 0.500) and F at (0.000, 0.500, 0.500).



--- B ---
A relaxed structure of VBrF3, computed with GGA+U.

The space group is Pm-3m (No. 221) and the conventional cell measures 4.133, 4.133 and 4.133 Å, with angles of 90.00, 90.00 and 90.00 degrees. The asymmetric unit holds V at (0.000, 0.000, 0.000), Br at (0.500, 0.500, 0.500) and F at (0.000, 0.000, 0.500).



Of the structures shown above, B is the most stable.